# 1
DFT (PBE) results for a relaxed Pr3WN5 crystal.

Summary:
Raw total energy, Ha/atom: -0.322

Unit cell a=7.5912 b=7.5912 c=7.5912 alpha=126.37 beta=126.37 gamma=79.28
Closest atoms and distances in Å follow each position.
Fractional coordinates of all 18 atoms:
Pr (0.1765, 0.3235, 0.5000)  4 N 2.43-2.52
Pr (0.2500, 0.2500, 0.0000)  10 N 2.84-2.92
Pr (0.6765, 0.1765, 0.8529)  4 N 2.43-2.52
Pr (0.3235, 0.8235, 0.1471)  4 N 2.43-2.52
Pr (0.7500, 0.7500, 0.0000)  10 N 2.84-2.92
Pr (0.8235, 0.6765, 0.5000)  4 N 2.43-2.52
W (0.2500, 0.7500, 0.5000)  4 N 1.87
W (0.7500, 0.2500, 0.5000)  4 N 1.87
N (0.3050, 0.8050, 0.8056)  1 W 1.87
N (0.0006, 0.5006, 0.8056)  1 W 1.87
N (0.1950, 0.0006, 0.5000)  1 W 1.87
N (0.5000, 0.5000, 0.0000)  4 Pr 2.52
N (0.5006, 0.6950, 0.5000)  1 W 1.87
N (0.4994, 0.3050, 0.5000)  1 W 1.87
N (0.6950, 0.1950, 0.1944)  1 W 1.87
N (0.8050, 0.9994, 0.5000)  1 W 1.87
N (0.0000, 0.0000, 0.0000)  4 Pr 2.52
N (0.9994, 0.4994, 0.1944)  1 W 1.87

# 2
DFT (PBE) results for a relaxed Pr2YN3 crystal.

Summary:
Raw total energy, Ha/atom: -0.302

Unit cell a=3.6018 b=3.6018 c=8.8369 alpha=90.00 beta=90.00 gamma=120.00
Closest atoms and distances in Å follow each position.
Fractional coordinates of all 6 atoms:
Y (0.0000, 0.0000, 0.5000)  6 N 2.49
N (0.0000, 0.0000, 0.0000)  6 Pr 2.58
N (0.3333, 0.6667, 0.3441)  3 Y 2.49, 3 Pr 2.58
N (0.6667, 0.3333, 0.6559)  3 Y 2.49, 3 Pr 2.58
Pr (0.3333, 0.6667, 0.8280)  6 N 2.58
Pr (0.6667, 0.3333, 0.1720)  6 N 2.58